(1)
CaPO3 | Alexandria via LeMat-Bulk | GGA-PBE | relaxed; E_form (uncorrected) = -1.931 eV/atom; SG = Pm-3m; theoretical density = 3.92 g/cm³
1.0
3.696 0.000 0.000
0.000 3.696 0.000
0.000 0.000 3.696
Ca P O
1 1 3
direct
0.000 0.000 0.000
0.500 0.500 0.500
0.000 0.500 0.500
0.500 0.000 0.500
0.500 0.500 0.000

=====

(2)
PmY12Th5 | Alexandria via LeMat-Bulk | GGA-PBE | relaxed; E_form = 0.0080 eV per atom; SG = C2/m; theoretical density = 6.73 g/cm³
1.0
3.117 -5.393 0.000
3.117 5.393 0.000
-2.103 0.000 17.414
Pm Y Th
1 12 5
direct
0.000 0.000 0.000
0.055 0.718 0.166
0.111 0.445 0.338
0.223 0.223 0.662
0.282 0.945 0.834
0.393 0.393 0.167
0.445 0.111 0.338
0.555 0.889 0.662
0.607 0.607 0.833
0.718 0.055 0.166
0.777 0.777 0.338
0.889 0.555 0.662
0.945 0.282 0.834
0.167 0.833 0.500
0.333 0.667 0.000
0.500 0.500 0.500
0.667 0.333 0.000
0.833 0.167 0.500

=====

(3)
Ta2CuNi | Alexandria via LeMat-Bulk | GGA-PBE | relaxed; E_form = -0.0086 eV per atom; SG = P4/mmm; theoretical density = 13.61 g/cm³
1.0
3.928 0.000 0.000
0.000 3.928 0.000
0.000 0.000 3.827
Ta Cu Ni
2 1 1
direct
0.000 0.500 0.000
0.500 0.000 0.000
0.000 0.000 0.500
0.500 0.500 0.500

=====

Number 1: DOS(E_F) 0.13 states/eV per atom, size of the total moment 0.00 μB per formula unit. Number 2: DOS(E_F) 1.40 states/eV per atom, size of the total moment 0.00 μB per formula unit. Number 3: DOS(E_F) 0.92 states/eV per atom, size of the total moment 0.00 μB per formula unit.